First-principles (PBE-GGA) data for a relaxed structure of In3Sn4Pb2, as listed in Alexandria.

## Properties
Energy relative to the elements in meV per atom: 38
DOS(E_F) in states/eV per cell: 8.608
VASP energy in eV/atom: -3.478

Lattice parameters (Å, degrees): 17.2471 3.5188 8.5555 90.00 98.00 90.00
Last column: nearest neighbours and their distance in Å.
Space group C2/m (No. 12)
Symmetry-distinct sites (fractional):
In 0.0000 0.0000 0.0000 x2  4 Sn 3.28, 4 Pb 3.39, 4 In 3.52-3.67
In 0.0947 0.0000 0.6411 x4  6 Sn 3.30-3.49, 2 Pb 3.42, 3 In 3.52-3.67
Sn 0.0691 0.5000 0.3121 x4  4 Sn 3.26-3.52, 6 In 3.28-3.40, 1 Pb 3.53
Sn 0.2297 0.0000 0.3389 x4  6 Sn 3.26-3.52, 3 Pb 3.43-3.62, 2 In 3.49
Pb 0.1656 0.5000 0.9739 x4  4 Pb 3.38-3.52, 4 In 3.39-3.42, 4 Sn 3.43-3.62